# PBE Nd4Pu3Te8, relaxed
data_Nd4Pu3Te8
_chemical_formula_sum 'Nd4 Pu3 Te8'
_space_group_name_H-M_alt 'P 1'
_space_group_IT_number 1
_cell_length_a 8.922
_cell_length_b 8.918
_cell_length_c 8.918
_cell_angle_alpha 90.06
_cell_angle_beta 120.00
_cell_angle_gamma 120.00
loop_
_space_group_symop_operation_xyz
'x,y,z'
loop_
_atom_site_label
_atom_site_fract_x
_atom_site_fract_y
_atom_site_fract_z
_atom_site_occupancy
Te1 0.491 0.744 0.744 1
Te2 0.997 0.742 0.742 1
Te3 0.500 0.252 0.748 1
Te4 0.500 0.748 0.252 1
Te5 0.003 0.258 0.258 1
Te6 0.000 0.745 0.255 1
Te7 0.509 0.256 0.256 1
Te8 0.000 0.255 0.745 1
Nd1 0.000 0.000 0.000 1
Nd2 0.500 0.000 0.000 1
Nd3 0.000 0.000 0.500 1
Nd4 0.000 0.500 0.000 1
Pu1 0.500 0.500 0.000 1
Pu2 0.500 0.000 0.500 1
Pu3 0.500 0.500 0.500 1
# Formation energy without anion corrections ... -1.31 eV per atom

# PBE NaP2RuCl, relaxed
data_NaP2RuCl
_chemical_formula_sum 'Na1 P2 Ru1 Cl1'
_space_group_name_H-M_alt 'P 1'
_space_group_IT_number 1
_cell_length_a 4.434
_cell_length_b 4.434
_cell_length_c 6.176
_cell_angle_alpha 90.00
_cell_angle_beta 90.00
_cell_angle_gamma 90.00
loop_
_space_group_symop_operation_xyz
'x,y,z'
loop_
_atom_site_label
_atom_site_fract_x
_atom_site_fract_y
_atom_site_fract_z
_atom_site_occupancy
P1 0.500 0.000 0.000 1
P2 0.000 0.500 0.000 1
Na1 0.500 0.500 0.500 1
Ru1 0.000 0.000 0.000 1
Cl1 0.000 0.000 0.500 1
# Energy relative to the lowest polymorph listed for this composition ... 0.0 meV/atom
# Formation energy without anion corrections ... -0.12 eV per atom

Repeat the second record exactly.
# PBE NaP2RuCl, relaxed
data_NaP2RuCl
_chemical_formula_sum 'Na1 P2 Ru1 Cl1'
_space_group_name_H-M_alt 'P 1'
_space_group_IT_number 1
_cell_length_a 4.434
_cell_length_b 4.434
_cell_length_c 6.176
_cell_angle_alpha 90.00
_cell_angle_beta 90.00
_cell_angle_gamma 90.00
loop_
_space_group_symop_operation_xyz
'x,y,z'
loop_
_atom_site_label
_atom_site_fract_x
_atom_site_fract_y
_atom_site_fract_z
_atom_site_occupancy
P1 0.500 0.000 0.000 1
P2 0.000 0.500 0.000 1
Na1 0.500 0.500 0.500 1
Ru1 0.000 0.000 0.000 1
Cl1 0.000 0.000 0.500 1
# Energy relative to the lowest polymorph listed for this composition ... 0.0 meV/atom
# Formation energy without anion corrections ... -0.12 eV per atom

Q: What is the formation energy without anion corrections in the first record?
A: -1.31 eV per atom

Q: Which formula does entry 1 have?
A: Nd4Pu3Te8

Q: Which of these has the lowest formation energy without anion corrections?
A: Nd4Pu3Te8